(1)
# Ce2Pm4Te3N2, relaxed, DFT PBE
data_Ce2Pm4Te3N2
_space_group_name_H-M_alt 'I 4/m m m'
_space_group_IT_number 139
_space_group_name_Hall '-I 4 2'
_cell_length_a 4.7409
_cell_length_b 4.7409
_cell_length_c 25.9746
_cell_angle_alpha 90.00
_cell_angle_beta 90.00
_cell_angle_gamma 90.00
loop_
_atom_site_label
_atom_site_type_symbol
_atom_site_fract_x
_atom_site_fract_y
_atom_site_fract_z
Ce1 Ce 0.0000 0.0000 0.1931
Pm1 Pm 0.0000 0.5000 0.0820
Te1 Te 0.0000 0.0000 0.3235
Te2 Te 0.0000 0.0000 0.5000
N1 N 0.0000 0.0000 0.1092
# calculated volume = 26.54 Å³/atom



(2)
# CePmTeN, relaxed, DFT PBE
data_CePmTeN
_space_group_name_H-M_alt 'I m m 2'
_space_group_IT_number 44
_cell_length_a 3.8558
_cell_length_b 3.8821
_cell_length_c 13.2901
_cell_angle_alpha 90.00
_cell_angle_beta 90.00
_cell_angle_gamma 90.00
loop_
_space_group_symop_operation_xyz
'x,y,z'
'-x,-y,z'
'-x,y,z'
'x,-y,z'
'x+1/2,y+1/2,z+1/2'
'-x+1/2,-y+1/2,z+1/2'
'-x+1/2,y+1/2,z+1/2'
'x+1/2,-y+1/2,z+1/2'
loop_
_atom_site_label
_atom_site_type_symbol
_atom_site_fract_x
_atom_site_fract_y
_atom_site_fract_z
Ce1 Ce 0.0000 0.0000 0.0000
Pm1 Pm 0.0000 0.0000 0.6965
Te1 Te 0.0000 0.0000 0.3461
N1 N 0.0000 0.5000 0.5919
# calculated volume = 24.87 Å³/atom



no.,total magnetization (μB per formula unit),formation energy (no corrections) (meV/atom),raw total energy (eV/cell)
1,2.7,-1191,-140.10
2,1.3,-1329,-54.93